1.
Computed, not measured: a relaxed CaBi3Pb crystal at the PBE level of DFT.

Summary:
Polymorph energy (0 for the lowest one) in meV per atom: 626
DFT formation energy in meV/atom: 431
VASP energy in eV per atom: -3.039

Cell lengths 5.8306, 5.8306, 5.8306 Å; angles 90.00, 90.00, 90.00 degrees
Last column: nearest neighbours and their distance in Å.
Space group Pm-3m (No. 221)
One atom of each set of equivalent atoms:
Ca: 0.0000 0.0000 0.0000  6 Bi 2.92
Bi: 0.0000 0.0000 0.5000  2 Ca 2.92
Pb: 0.5000 0.5000 0.5000  12 Bi 4.12

2.
Computed, not measured: a relaxed CaAgBr2 crystal at the PBE level of DFT.

Summary:
Energy relative to the elements, uncorrected in eV/atom: -1.060
Polymorph energy (0 for the lowest one) in meV per atom: 0
VASP energy in eV per atom: -3.110

Cell lengths 4.0376, 4.0376, 30.8302 Å; angles 90.00, 90.00, 120.00 degrees
Last column: nearest neighbours and their distance in Å.
Space group R-3m (No. 166, hexagonal axes)
One atom of each set of equivalent atoms:
Ca: 0.0000 0.0000 0.0000  6 Br 2.88
Ag: 0.0000 0.0000 0.5000  2 Br 3.45
Br: 0.0000 0.0000 0.3880  3 Ca 2.88

3.
Computed, not measured: a relaxed Re2SnBH crystal at the PBE level of DFT.

Summary:
VASP energy in eV per atom: -6.832

Cell lengths 4.3434, 4.3434, 3.1659 Å; angles 90.00, 90.00, 90.00 degrees
Last column: nearest neighbours and their distance in Å.
Space group P4/mmm (No. 123)
One atom of each set of equivalent atoms:
Re: 0.0000 0.5000 0.0000  2 H 2.17
Sn: 0.0000 0.0000 0.5000  8 Re 2.69
B: 0.5000 0.5000 0.5000  2 H 1.58
H: 0.5000 0.5000 0.0000  2 B 1.58

4.
Computed, not measured: a relaxed InRe2Pb crystal at the PBE level of DFT.

Summary:
Polymorph energy (0 for the lowest one) in meV per atom: 794
DFT formation energy in meV/atom: 1111
VASP energy in eV per atom: -6.725

Cell lengths 4.6975, 4.6975, 3.3257 Å; angles 90.00, 90.00, 90.00 degrees
Last column: nearest neighbours and their distance in Å.
Space group P4/mmm (No. 123)
One atom of each set of equivalent atoms:
In: 0.0000 0.0000 0.0000  8 Re 2.88
Re: 0.0000 0.5000 0.5000  4 In 2.88, 4 Pb 2.88
Pb: 0.5000 0.5000 0.0000  8 Re 2.88

5.
Computed, not measured: a relaxed TcGe crystal at the PBE level of DFT.

Summary:
Polymorph energy (0 for the lowest one) in meV per atom: 280
DFT formation energy in meV/atom: 99
VASP energy in eV per atom: -7.393

Cell lengths 9.8271, 9.8271, 3.0006 Å; angles 90.00, 90.00, 90.00 degrees
Last column: nearest neighbours and their distance in Å.
Space group I4/m (No. 87)
One atom of each set of equivalent atoms:
Tc: 0.0618 0.3517 0.0000  4 Ge 2.47-2.76, 4 Tc 2.69
Ge: 0.1405 0.7975 0.0000  4 Tc 2.47-2.76

6.
Computed, not measured: a relaxed ZrAlNi6 crystal at the PBE level of DFT.

Summary:
Polymorph energy (0 for the lowest one) in meV per atom: 0
DFT formation energy in meV/atom: -425
VASP energy in eV per atom: -6.297

Cell lengths 7.2822, 10.3984, 10.3926 Å; angles 90.00, 90.00, 90.00 degrees
Last column: nearest neighbours and their distance in Å.
Space group Cmmm (No. 65)
One atom of each set of equivalent atoms:
Zr: 0.0000 0.0000 0.2451  12 Ni 2.55-2.65
Zr: 0.0000 0.2442 0.5000  12 Ni 2.54-2.68
Al: 0.0000 0.2403 0.0000  12 Ni 2.50-2.70
Al: 0.0000 0.5000 0.2455  12 Ni 2.53-2.64
Ni: 0.0000 0.0000 0.0000  2 Al 2.50, 2 Zr 2.55, 8 Ni 2.62
Ni: 0.0000 0.0000 0.5000  4 Zr 2.54-2.65, 8 Ni 2.65
Ni: 0.0000 0.2528 0.2421  8 Ni 2.50-2.67, 2 Al 2.52-2.57, 2 Zr 2.63-2.68
Ni: 0.0000 0.5000 0.0000  8 Ni 2.53, 4 Al 2.55-2.70
Ni: 0.0000 0.5000 0.5000  8 Ni 2.56, 2 Al 2.64, 2 Zr 2.66
Ni: 0.2405 0.3729 0.1204  8 Ni 2.50-2.64, 3 Al 2.55-2.56, 1 Zr 2.65
Ni: 0.2412 0.3772 0.3698  1 Al 2.53, 8 Ni 2.55-2.71, 3 Zr 2.61-2.64

Question: What is the formula in the third record?
Answer: Re2SnBH

Question: Which value of VASP energy does entry 4 give?
Answer: -6.725 eV per atom

Question: VASP energy of number 3 (Re2SnBH)?
Answer: -6.832 eV per atom

Please write out number 1 again, unchanged.
Computed, not measured: a relaxed CaBi3Pb crystal at the PBE level of DFT.

Summary:
Polymorph energy (0 for the lowest one) in meV per atom: 626
DFT formation energy in meV/atom: 431
VASP energy in eV per atom: -3.039

Cell lengths 5.8306, 5.8306, 5.8306 Å; angles 90.00, 90.00, 90.00 degrees
Last column: nearest neighbours and their distance in Å.
Space group Pm-3m (No. 221)
One atom of each set of equivalent atoms:
Ca: 0.0000 0.0000 0.0000  6 Bi 2.92
Bi: 0.0000 0.0000 0.5000  2 Ca 2.92
Pb: 0.5000 0.5000 0.5000  12 Bi 4.12